Entry 1:
KLaTm: relaxed, PBE.

Geometry as CIF:
```
data_KLaTm
_cell_length_a 8.372
_cell_length_b 8.372
_cell_length_c 8.372
_cell_angle_alpha 90.00
_cell_angle_beta 90.00
_cell_angle_gamma 90.00
_space_group_name_H-M_alt 'F -4 3 m'
_space_group_IT_number 216
_space_group_name_Hall 'F -4 2 3'
loop_
_atom_site_label
_atom_site_type_symbol
_atom_site_fract_x
_atom_site_fract_y
_atom_site_fract_z
K1 K 0.000 0.000 0.000
La1 La 0.000 0.000 0.500
Tm1 Tm 0.250 0.250 0.250
```

---

Entry 2:
KLaU: relaxed, PBE.

Geometry as CIF:
```
data_KLaU
_cell_length_a 8.078
_cell_length_b 8.078
_cell_length_c 8.078
_cell_angle_alpha 90.00
_cell_angle_beta 90.00
_cell_angle_gamma 90.00
_space_group_name_H-M_alt 'F -4 3 m'
_space_group_IT_number 216
_space_group_name_Hall 'F -4 2 3'
loop_
_atom_site_label
_atom_site_type_symbol
_atom_site_fract_x
_atom_site_fract_y
_atom_site_fract_z
K1 K 0.000 0.000 0.000
La1 La 0.000 0.000 0.500
U1 U 0.250 0.250 0.250
```

---

Entry 3:
KLaZr: relaxed, PBE.

Geometry as CIF:
```
data_KLaZr
_cell_length_a 8.105
_cell_length_b 8.105
_cell_length_c 8.105
_cell_angle_alpha 90.00
_cell_angle_beta 90.00
_cell_angle_gamma 90.00
_space_group_name_H-M_alt 'F -4 3 m'
_space_group_IT_number 216
_space_group_name_Hall 'F -4 2 3'
loop_
_atom_site_label
_atom_site_type_symbol
_atom_site_fract_x
_atom_site_fract_y
_atom_site_fract_z
K1 K 0.000 0.000 0.000
La1 La 0.000 0.000 0.500
Zr1 Zr 0.250 0.250 0.250
```

---

Entry 4:
KLiMoPt: relaxed, PBE.

Geometry as CIF:
```
data_KLiMoPt
_cell_length_a 6.526
_cell_length_b 6.526
_cell_length_c 6.526
_cell_angle_alpha 90.00
_cell_angle_beta 90.00
_cell_angle_gamma 90.00
_space_group_name_H-M_alt 'F -4 3 m'
_space_group_IT_number 216
_space_group_name_Hall 'F -4 2 3'
loop_
_atom_site_label
_atom_site_type_symbol
_atom_site_fract_x
_atom_site_fract_y
_atom_site_fract_z
K1 K 0.000 0.000 0.000
Li1 Li 0.250 0.250 0.250
Mo1 Mo 0.250 0.250 0.750
Pt1 Pt 0.000 0.000 0.500
```

---

So what do the calculations give for offset from the most stable computed form? Going down the list: 0.00; 0.00; 0.00; 0.00 eV/f.u..
So what do the calculations give for total magnetization? Going down the list: 4.897; 22.075; 16.785; 0.024 μB/cell.